The following is a DFT calculation (PBE) of NbInRuRh after structural relaxation.

Lattice parameters (Å, degrees): 6.412 6.412 6.412 90.00 90.00 90.00
Space group F-43m (No. 216)
Symmetry-distinct sites (fractional):
Nb 0.000 0.000 0.000
In 0.000 0.000 0.500
Ru 0.250 0.250 0.250
Rh 0.250 0.250 0.750

Energy of formation, eV/atom: -0.2839